[1]
{"formula": "K9Rb4Na11", "functional": "PBE-GGA", "state": "optimized geometry", "lattice_angstrom": [[4.390, 0.000, 0.000], [0.000, 16.989, -6.833], [0.000, 0.393, 18.308]], "species": ["Na", "Na", "Na", "Na", "Na", "Na", "Na", "Na", "Na", "Na", "Na", "Rb", "Rb", "Rb", "Rb", "K", "K", "K", "K", "K", "K", "K", "K", "K"], "frac_coords": [[0.000, 0.970, 0.590], [0.000, 0.375, 0.625], [0.000, 0.000, 0.000], [0.000, 0.030, 0.410], [0.000, 0.410, 0.030], [0.000, 0.809, 0.191], [0.000, 0.625, 0.375], [0.000, 0.191, 0.809], [0.000, 0.590, 0.970], [0.000, 0.816, 0.816], [0.000, 0.184, 0.184], [0.500, 0.596, 0.760], [0.500, 0.760, 0.596], [0.500, 0.404, 0.240], [0.500, 0.240, 0.404], [0.500, 0.996, 0.793], [0.500, 0.612, 0.167], [0.500, 0.500, 0.500], [0.500, 0.207, 0.004], [0.500, 0.004, 0.207], [0.500, 0.388, 0.833], [0.500, 0.833, 0.388], [0.500, 0.167, 0.612], [0.500, 0.793, 0.996]], "sg": "Cmmm (65)"}

---

[2]
{"formula": "NaLa2Tb", "functional": "PBE-GGA", "state": "optimized geometry", "lattice_angstrom": [[3.783, 0.000, 0.000], [0.000, 6.085, 0.000], [0.000, 0.000, 6.085]], "species": ["La", "La", "Tb", "Na"], "frac_coords": [[0.000, 0.000, 0.500], [0.000, 0.500, 0.000], [0.500, 0.000, 0.000], [0.500, 0.500, 0.500]], "sg": "P4/mmm (123)"}

---

[3]
{"formula": "TbTm3Pb2", "functional": "PBE-GGA", "state": "optimized geometry", "lattice_angstrom": [[7.249, 0.000, 0.000], [0.000, 7.472, 0.000], [-3.624, -3.736, 7.279]], "species": ["Pb", "Pb", "Pb", "Pb", "Tm", "Tm", "Tm", "Tm", "Tm", "Tm", "Tb", "Tb"], "frac_coords": [[0.471, 0.644, 0.288], [0.183, 0.856, 0.712], [0.817, 0.144, 0.288], [0.529, 0.356, 0.712], [0.500, 0.750, 0.000], [0.500, 0.250, 0.000], [0.793, 0.043, 0.586], [0.207, 0.957, 0.414], [0.793, 0.543, 0.586], [0.207, 0.457, 0.414], [0.000, 0.000, 0.000], [0.000, 0.500, 0.000]], "sg": "Ibam (72)"}

---

Number 1: energy of formation 0.03 eV/atom. Number 2: energy of formation 0.17 eV/atom. Number 3: energy of formation -0.11 eV/atom.